# 1
Crystalline U2Tl3RuS6 at its relaxed geometry, computed with GGA-PBE.

Output
DOS at the Fermi energy: 1.162 states/eV/atom
calculated volume: 23.99 A^3/atom
total energy: -6.11 eV/atom

a = 6.306 Å, b = 10.926 Å, c = 8.676 Å
α = 90.00°, β = 105.57°, γ = 90.00°
Space group C2/m (No. 12)
Asymmetric unit:
U (0.000, 0.166, 0.000) (multiplicity 4)
Tl (0.000, 0.000, 0.500) (multiplicity 2)
Tl (0.000, 0.335, 0.500) (multiplicity 4)
Ru (0.000, 0.500, 0.000) (multiplicity 2)
S (0.220, 0.347, 0.184) (multiplicity 8)
S (0.235, 0.500, 0.815) (multiplicity 4)

---

# 2
Crystalline BaLiCd10 at its relaxed geometry, computed with GGA-PBE.

Output
DOS at the Fermi energy: 0.495 states/eV/atom
formation energy: -0.117 eV per atom
calculated volume: 25.89 A^3/atom
total energy: -1.20 eV/atom

a = 5.067 Å, b = 5.781 Å, c = 10.605 Å
α = 90.00°, β = 90.00°, γ = 90.00°
Space group Pmmm (No. 47)
Asymmetric unit:
Ba (0.000, 0.000, 0.000) (multiplicity 1)
Li (0.000, 0.500, 0.500) (multiplicity 1)
Cd (0.000, 0.000, 0.353) (multiplicity 2)
Cd (0.000, 0.500, 0.209) (multiplicity 2)
Cd (0.500, 0.000, 0.500) (multiplicity 1)
Cd (0.500, 0.245, 0.244) (multiplicity 4)
Cd (0.500, 0.500, 0.000) (multiplicity 1)

---

# 3
Crystalline ErMn2Al8 at its relaxed geometry, computed with GGA-PBE.

Output
DOS at the Fermi energy: 0.604 states/eV/atom
formation energy: -0.072 eV per atom
calculated volume: 17.77 A^3/atom
total energy: -4.88 eV/atom

a = 8.260 Å, b = 10.433 Å, c = 4.654 Å
α = 90.00°, β = 102.91°, γ = 90.00°
Space group C2/m (No. 12)
Asymmetric unit:
Er (0.000, 0.000, 0.000) (multiplicity 2)
Mn (0.000, 0.291, 0.500) (multiplicity 4)
Al (0.000, 0.283, 0.000) (multiplicity 4)
Al (0.111, 0.500, 0.764) (multiplicity 4)
Al (0.221, 0.130, 0.599) (multiplicity 8)